Record 1
A geometry-optimized LaUSn structure, computed with GGA-PBE.

Summary:
DFT total energy (eV/atom): -6.21
Offset from the most stable computed form (meV/atom): 0.0
Magnetic moment (Bohr magnetons per cell): 4.54

```
LaUSn
1.0
0.0000 3.6667 3.6667
3.6667 0.0000 3.6667
3.6667 3.6667 0.0000
La U Sn
1 1 1
direct
0.0000 0.0000 0.0000
0.2500 0.2500 0.2500
0.5000 0.5000 0.5000
```



Record 2
A geometry-optimized Li4CuSb2Au structure, computed with GGA-PBE.

Summary:
DFT total energy (eV/atom): -3.34

```
Li4CuSb2Au
1.0
4.5517 0.0000 0.0000
0.0000 4.5517 0.0000
0.0000 0.0000 6.4150
Li Cu Sb Au
4 1 2 1
direct
0.0000 0.0000 0.0000
0.0000 0.5000 0.2471
0.5000 0.0000 0.7529
0.5000 0.5000 0.5000
0.0000 0.0000 0.5000
0.0000 0.5000 0.7331
0.5000 0.0000 0.2669
0.5000 0.5000 0.0000
```



> The lowest DFT total energy belongs to which entry?

LaUSn



Repeat the second record exactly.
A geometry-optimized Li4CuSb2Au structure, computed with GGA-PBE.

Summary:
DFT total energy (eV/atom): -3.34

```
Li4CuSb2Au
1.0
4.5517 0.0000 0.0000
0.0000 4.5517 0.0000
0.0000 0.0000 6.4150
Li Cu Sb Au
4 1 2 1
direct
0.0000 0.0000 0.0000
0.0000 0.5000 0.2471
0.5000 0.0000 0.7529
0.5000 0.5000 0.5000
0.0000 0.0000 0.5000
0.0000 0.5000 0.7331
0.5000 0.0000 0.2669
0.5000 0.5000 0.0000
```



> What is the DFT total energy in the first record?

-6.21 eV/atom



Please write out number 1 again, unchanged.
A geometry-optimized LaUSn structure, computed with GGA-PBE.

Summary:
DFT total energy (eV/atom): -6.21
Offset from the most stable computed form (meV/atom): 0.0
Magnetic moment (Bohr magnetons per cell): 4.54

```
LaUSn
1.0
0.0000 3.6667 3.6667
3.6667 0.0000 3.6667
3.6667 3.6667 0.0000
La U Sn
1 1 1
direct
0.0000 0.0000 0.0000
0.2500 0.2500 0.2500
0.5000 0.5000 0.5000
```